1.
This record from Alexandria describes a relaxed Al2Sn2Te crystal. The functional is PBE.

abc: 3.9215 3.9215 16.4597
angles: 90.00 90.00 90.00
With the nearest neighbours (Å) after each atom.
Space group I4/mmm (No. 139)
One atom of each set of equivalent atoms:
1 Al 0.0000 0.5000 0.2500 x4  4 Al 2.77, 4 Sn 3.01
2 Sn 0.0000 0.0000 0.1115 x4  4 Al 3.01, 4 Te 3.33
3 Te 0.0000 0.0000 0.5000 x2  8 Sn 3.33

Summary:
Polymorph energy (0 for the lowest one): 0 meV/atom

=====

2.
This record from Alexandria describes a relaxed Al2Sn2Te5 crystal. The functional is PBE.

abc: 16.0732 4.3518 10.9358
angles: 90.00 120.10 90.00
With the nearest neighbours (Å) after each atom.
Space group C2/m (No. 12)
One atom of each set of equivalent atoms:
1 Al 0.2116 0.0000 0.0893 x4  4 Te 2.56-2.74
2 Sn 0.0979 0.5000 0.4192 x4  5 Te 3.04-3.28
3 Te 0.0000 0.0000 0.5000 x2  4 Sn 3.06
4 Te 0.1239 0.5000 0.9202 x4  3 Al 2.70-2.74
5 Te 0.2040 0.0000 0.3179 x4  1 Al 2.56

Summary:
VASP energy: -3.746 eV per atom

=====

3.
This record from Alexandria describes a relaxed Al2SnTe crystal. The functional is PBE.

abc: 7.1666 7.1666 7.1666
angles: 90.00 90.00 90.00
With the nearest neighbours (Å) after each atom.
Space group Fm-3m (No. 225)
One atom of each set of equivalent atoms:
1 Al 0.2500 0.2500 0.2500 x8  4 Sn 3.10, 4 Te 3.10
2 Sn 0.0000 0.0000 0.0000 x4  8 Al 3.10
3 Te 0.0000 0.0000 0.5000 x4  8 Al 3.10

Summary:
Polymorph energy (0 for the lowest one): 319 meV/atom